(1)
Density functional theory data (PBE) for a geometry-optimized Ho7AuSe5 structure.

Unit cell a=4.016 b=13.235 c=24.228 alpha=90.00 beta=90.00 gamma=90.00
Space group Cmcm (No. 63)
One atom of each set of equivalent atoms:
Ho 0.000 0.036 0.250
Ho 0.000 0.138 0.538
Ho 0.000 0.306 0.179
Ho 0.000 0.409 0.614
Au 0.000 0.301 0.750
Se 0.000 0.052 0.643
Se 0.000 0.223 0.071
Se 0.000 0.500 0.000

Summary:
**Formation energy (no corrections)**: -1475 meV per atom
**Total DFT energy (no corrections)**: -5.53 eV/atom

(2)
Density functional theory data (PBE) for a geometry-optimized Ho5AuSe4 structure.

Unit cell a=13.787 b=4.016 c=10.150 alpha=90.00 beta=120.17 gamma=90.00
Space group C2/m (No. 12)
One atom of each set of equivalent atoms:
Ho 0.000 0.000 0.000
Ho 0.098 0.500 0.402
Ho 0.196 0.000 0.795
Au 0.000 0.000 0.500
Se 0.103 0.500 0.908
Se 0.198 0.000 0.297

Summary:
**Formation energy (no corrections)**: -1563 meV per atom
**Total DFT energy (no corrections)**: -5.57 eV/atom

(3)
Density functional theory data (PBE) for a geometry-optimized Ho4Te2AuSe structure.

Unit cell a=7.440 b=4.119 c=7.453 alpha=90.00 beta=108.31 gamma=90.00
Space group P2/m (No. 10)
One atom of each set of equivalent atoms:
Ho 0.234 0.000 0.222
Ho 0.255 0.500 0.774
Te 0.000 0.000 0.500
Te 0.500 0.500 0.500
Au 0.000 0.500 0.000
Se 0.500 0.000 0.000

Summary:
**Formation energy (no corrections)**: -1291 meV per atom
**Total DFT energy (no corrections)**: -5.21 eV/atom

(4)
Density functional theory data (PBE) for a geometry-optimized Ho6Te3AuSe2 structure.

Unit cell a=7.311 b=12.626 c=7.405 alpha=90.00 beta=109.03 gamma=90.00
Space group C2/m (No. 12)
One atom of each set of equivalent atoms:
Ho 0.236 0.163 0.223
Ho 0.249 0.000 0.774
Te 0.000 0.172 0.500
Te 0.000 0.500 0.500
Au 0.000 0.000 0.000
Se 0.000 0.335 0.000

Summary:
**Formation energy (no corrections)**: -1382 meV per atom
**Total DFT energy (no corrections)**: -5.31 eV/atom

(5)
Density functional theory data (PBE) for a geometry-optimized Ho6Te3Au2Se structure.

Unit cell a=18.996 b=4.125 c=8.754 alpha=90.00 beta=107.96 gamma=90.00
Space group C2/m (No. 12)
One atom of each set of equivalent atoms:
Ho 0.012 0.000 0.243
Ho 0.166 0.500 0.589
Ho 0.167 0.500 0.122
Te 0.000 0.500 0.500
Te 0.160 0.000 0.853
Au 0.174 0.000 0.359
Se 0.000 0.500 0.000

Summary:
**Formation energy (no corrections)**: -1207 meV per atom
**Total DFT energy (no corrections)**: -5.12 eV/atom

(6)
Density functional theory data (PBE) for a geometry-optimized Ho8Te3AuSe3 structure.

Unit cell a=8.3230 b=8.3230 c=20.8582 alpha=90.00 beta=90.00 gamma=120.00
Space group R-3m (No. 166, hexagonal axes)
One atom of each set of equivalent atoms:
Ho 0.0000 0.0000 0.2392
Ho 0.0017 0.5009 0.7589
Te 0.0000 0.5000 0.0000
Au 0.0000 0.0000 0.5000
Se 0.0000 0.5000 0.5000

Summary:
**Formation energy (no corrections)**: -1232 meV per atom
**Total DFT energy (no corrections)**: -5.22 eV/atom